(1)
This record from Alexandria describes an optimized crystal structure of Tb5Pm4Dy2. The functional is PBE.

It has space group C2/m (No. 12), with a = 11.098 Å, b = 7.447 Å, c = 9.198 Å, α = 90.00°, β = 106.00° and γ = 90.00°. Symmetry generates all atoms from Tb at (0.000, 0.000, 0.000), Tb at (0.071, 0.280, 0.276), Pm at (0.171, 0.500, 0.620), Pm at (0.189, 0.500, 0.998) and Dy at (0.142, 0.000, 0.624).

For the calculated density, the calculation gives 7.73 Mg/m³. The formation energy comes out at 0.117 eV/atom.


(2)
This record from Alexandria describes an optimized crystal structure of Tb8Pm3Dy2. The functional is PBE.

It has space group C2/m (No. 12), with a = 20.152 Å, b = 7.703 Å, c = 5.665 Å, α = 90.00°, β = 90.03° and γ = 90.00°. Symmetry generates all atoms from Tb at (0.108, 0.209, 0.000), Tb at (0.135, 0.500, 0.500), Tb at (0.171, 0.000, 0.501), Pm at (0.000, 0.209, 0.500), Pm at (0.000, 0.500, 0.000) and Dy at (0.242, 0.500, 0.999).

For the calculated density, the calculation gives 7.67 Mg/m³. The formation energy comes out at 0.238 eV/atom.


(3)
This record from Alexandria describes an optimized crystal structure of Tb3PmDy3. The functional is PBE.

It has space group R-3 (No. 148, hexagonal axes), with a = 6.1778 Å, b = 6.1778 Å, c = 42.8136 Å, α = 90.00°, β = 90.00° and γ = 120.00°. Symmetry generates all atoms from Tb at (0.0001, 0.3340, 0.4326), Pm at (0.0000, 0.0000, 0.1667) and Dy at (0.0000, 0.3318, 0.6332).

For the calculated density, the calculation gives 7.81 Mg/m³. The formation energy comes out at 0.134 eV/atom.


(4)
This record from Alexandria describes an optimized crystal structure of TbPmDy2. The functional is PBE.

It has space group Pmmn (No. 59, origin choice 2), with a = 5.702 Å, b = 7.294 Å, c = 6.299 Å, α = 90.00°, β = 90.00° and γ = 90.00°. Symmetry generates all atoms from Tb at (0.250, 0.250, 0.168), Pm at (0.250, 0.750, 0.167) and Dy at (0.250, 0.501, 0.666).

For the calculated density, the calculation gives 7.97 Mg/m³. The formation energy comes out at 0.017 eV/atom.


(5)
This record from Alexandria describes an optimized crystal structure of Tb7Pm3Dy. The functional is PBE.

It has space group P2/m (No. 10), with a = 6.977 Å, b = 5.562 Å, c = 10.021 Å, α = 90.00°, β = 109.81° and γ = 90.00°. Symmetry generates all atoms from Tb at (0.000, 0.000, 0.000), Tb at (0.146, 0.500, 0.289), Tb at (0.322, 0.500, 0.637), Tb at (0.419, 0.000, 0.829), Pm at (0.000, 0.000, 0.500), Pm at (0.281, 0.500, 0.998) and Dy at (0.500, 0.000, 0.500).

For the calculated density, the calculation gives 7.76 Mg/m³. The formation energy comes out at 0.137 eV/atom.


(6)
This record from Alexandria describes an optimized crystal structure of Tb2Pm5Dy5. The functional is PBE.

It has space group C2/m (No. 12), with a = 15.227 Å, b = 5.070 Å, c = 11.371 Å, α = 90.00°, β = 116.55° and γ = 90.00°. Symmetry generates all atoms from Tb at (0.083, 0.000, 0.249), Pm at (0.000, 0.500, 0.000), Pm at (0.084, 0.500, 0.751), Pm at (0.166, 0.500, 0.499), Dy at (0.000, 0.000, 0.500), Dy at (0.168, 0.000, 0.001) and Dy at (0.249, 0.500, 0.248).

For the calculated density, the calculation gives 7.85 Mg/m³. The formation energy comes out at 0.016 eV/atom.


(7)
This record from Alexandria describes an optimized crystal structure of Tb5Pm2Dy12. The functional is PBE.

It has space group C2/m (No. 12), with a = 15.722 Å, b = 9.236 Å, c = 8.553 Å, α = 90.00°, β = 91.37° and γ = 90.00°. Symmetry generates all atoms from Tb at (0.000, 0.000, 0.000), Tb at (0.199, 0.500, 0.512), Tb at (0.231, 0.000, 0.074), Pm at (0.000, 0.320, 0.500), Dy at (0.058, 0.500, 0.833), Dy at (0.089, 0.000, 0.382), Dy at (0.127, 0.309, 0.158) and Dy at (0.154, 0.180, 0.743).

For the calculated density, the calculation gives 8.12 Mg/m³. The formation energy comes out at 0.131 eV/atom.


(8)
This record from Alexandria describes an optimized crystal structure of TbPmDy2. The functional is PBE.

It has space group P4/mmm (No. 123), with a = 5.055 Å, b = 5.055 Å, c = 5.046 Å, α = 90.00°, β = 90.00° and γ = 90.00°. Symmetry generates all atoms from Tb at (0.000, 0.000, 0.000), Pm at (0.500, 0.500, 0.000) and Dy at (0.000, 0.500, 0.500).

For the calculated density, the calculation gives 8.10 Mg/m³. The formation energy comes out at 0.019 eV/atom.


> Which of these has the highest calculated density?

Tb5Pm2Dy12


> Among the records above, which one has the highest calculated density?

Tb5Pm2Dy12


> What is the calculated density in the second record?

7.67 Mg/m³